First-principles (PBE) data for Ho2Ge2Rh5 after structural relaxation, as listed in Alexandria via LeMat-Bulk.

a b c (Å): 4.171 4.171 8.912
angles (deg): 90.00 90.00 90.00
Positions (direct):
Ho1 0.000 0.000 0.000
Ho2 0.000 0.000 0.500
Ge1 0.500 0.500 0.140
Ge2 0.500 0.500 0.860
Rh1 0.000 0.500 0.274
Rh2 0.000 0.500 0.726
Rh3 0.500 0.000 0.274
Rh4 0.500 0.000 0.726
Rh5 0.500 0.500 0.500

## Properties
Fermi-level density of states: 7.463 states/eV/f.u.
Energy of formation: -0.7467 eV/atom
Raw total energy: -61.9 eV for the cell shown